The following is a DFT calculation (PBEsol) of an optimized crystal structure of KAsIr2.

a b c (Å): 4.5321 4.6075 4.5321
angles (deg): 119.46 90.00 119.46
With the nearest neighbours (Å) after each atom.
Fractional coordinates of all 4 atoms:
1 Ir 0.7500 0.5000 0.2500  4 K 2.81, 4 Ir 2.81
2 As 0.2500 0.5000 0.7500  4 K 2.81, 4 Ir 2.81
3 Ir 0.0000 0.0000 0.0000  4 As 2.81, 4 Ir 2.81
4 K 0.5000 0.0000 0.5000  4 As 2.81, 4 Ir 2.81

Calculated values
formation energy = 3.832 eV/f.u.
DOS(E_F) = 0.82 states/eV/atom
total magnetization = 0.000 μB/f.u.
V = 68 Å³ per cell
final energy = -5.51 eV per atom



The following is a DFT calculation (PBEsol) of an optimized crystal structure of KAsIr2.

a b c (Å): 4.1507 4.1507 4.8489
angles (deg): 115.34 115.34 90.00
With the nearest neighbours (Å) after each atom.
Fractional coordinates of all 4 atoms:
1 K 0.5000 0.5000 0.0000  8 Ir 2.83, 4 As 2.93
2 As 0.0000 0.0000 0.0000  8 Ir 2.83, 4 K 2.93
3 Ir 0.2500 0.7500 0.5000  4 As 2.83, 4 K 2.83, 4 Ir 2.93
4 Ir 0.7500 0.2500 0.5000  4 As 2.83, 4 K 2.83, 4 Ir 2.93

Calculated values
formation energy = 3.836 eV/f.u.
DOS(E_F) = 0.73 states/eV/atom
total magnetization = 0.000 μB/f.u.
V = 66 Å³ per cell
final energy = -5.51 eV per atom



The following is a DFT calculation (PBEsol) of an optimized crystal structure of KAsIr.

a b c (Å): 4.5054 4.5054 4.5054
angles (deg): 60.00 60.00 60.00
With the nearest neighbours (Å) after each atom.
Fractional coordinates of all 3 atoms:
1 K 0.5000 0.5000 0.5000  4 As 2.76
2 As 0.2500 0.2500 0.2500  4 K 2.76, 4 Ir 2.76
3 Ir 0.0000 0.0000 0.0000  4 As 2.76

Calculated values
formation energy = 2.422 eV/f.u.
DOS(E_F) = 1.00 states/eV/atom
total magnetization = 0.000 μB/f.u.
V = 65 Å³ per cell
final energy = -4.55 eV per atom



The following is a DFT calculation (PBEsol) of an optimized crystal structure of K2AsIr.

a b c (Å): 4.0472 5.6187 6.1349
angles (deg): 117.25 109.26 90.00
With the nearest neighbours (Å) after each atom.
Fractional coordinates of all 4 atoms:
1 Ir 0.1747 0.6747 0.3494  2 As 2.29
2 As 0.5680 0.5680 0.1360  2 Ir 2.29
3 K 0.9733 0.9733 0.9465  4 K 3.40-3.74, 4 Ir 3.47-3.64, 4 As 3.59
4 K 0.7840 0.2840 0.5681  4 K 3.40-3.74, 4 As 3.52-3.56, 4 Ir 3.64

Calculated values
formation energy = -0.057 eV/f.u.
DOS(E_F) = 0.26 states/eV/atom
total magnetization = 0.000 μB/f.u.
V = 115 Å³ per cell
final energy = -4.31 eV per atom



The following is a DFT calculation (PBEsol) of an optimized crystal structure of LaAs2Ir.

a b c (Å): 4.0656 4.0656 6.0556
angles (deg): 70.39 70.39 60.00
With the nearest neighbours (Å) after each atom.
Fractional coordinates of all 4 atoms:
1 As 0.2735 0.2735 0.1794  3 Ir 2.55
2 La 0.5000 0.5000 0.5000  6 As 2.95
3 Ir 0.0000 0.0000 0.0000  6 As 2.55
4 As 0.7265 0.7265 0.8206  3 Ir 2.55

Calculated values
formation energy = -3.774 eV/f.u.
DOS(E_F) = 0.05 states/eV/atom
total magnetization = 0.000 μB/f.u.
V = 80 Å³ per cell
final energy = -7.29 eV per atom



The following is a DFT calculation (PBEsol) of an optimized crystal structure of LaAs2Ir.

a b c (Å): 3.5104 3.5104 6.4981
angles (deg): 90.00 90.00 90.00
With the nearest neighbours (Å) after each atom.
Fractional coordinates of all 4 atoms:
1 Ir 0.0000 0.0000 0.4199  5 As 2.50-2.63
2 As 0.5000 0.5000 0.2851  4 Ir 2.63
3 As 0.0000 0.0000 0.0346  1 Ir 2.50
4 La 0.5000 0.5000 0.7605  6 As 3.05-3.41, 4 Ir 3.33

Calculated values
formation energy = -1.433 eV/f.u.
DOS(E_F) = 0.85 states/eV/atom
total magnetization = 0.000 μB/f.u.
V = 80 Å³ per cell
final energy = -6.70 eV per atom



The following is a DFT calculation (PBEsol) of an optimized crystal structure of LaAs2Ir.

a b c (Å): 4.0839 4.5636 4.6336
angles (deg): 103.81 90.00 90.00
With the nearest neighbours (Å) after each atom.
Fractional coordinates of all 4 atoms:
1 Ir 0.5000 0.0000 0.5000  4 As 2.49
2 As 0.0000 0.8325 0.7251  2 Ir 2.49, 1 As 2.64
3 As 0.0000 0.1675 0.2749  2 Ir 2.49, 1 As 2.64
4 La 0.5000 0.5000 0.0000  2 Ir 2.84, 4 As 3.00

Calculated values
formation energy = -3.545 eV/f.u.
DOS(E_F) = 0.11 states/eV/atom
total magnetization = 0.000 μB/f.u.
V = 84 Å³ per cell
final energy = -7.23 eV per atom



The following is a DFT calculation (PBEsol) of an optimized crystal structure of LaAsIr.

a b c (Å): 4.1684 4.1684 8.0021
angles (deg): 105.10 105.10 90.00
With the nearest neighbours (Å) after each atom.
Fractional coordinates of all 6 atoms:
1 La 0.5007 0.0007 0.0014  6 As 3.18-3.28, 6 Ir 3.21-3.22
2 Ir 0.0859 0.5859 0.1719  3 As 2.44-2.45
3 As 0.6714 0.6714 0.3427  3 Ir 2.44-2.45
4 La 0.2507 0.2507 0.5014  6 As 3.18-3.28, 6 Ir 3.21-3.22
5 Ir 0.8359 0.8359 0.6719  3 As 2.44-2.45
6 As 0.9214 0.4214 0.8427  3 Ir 2.44-2.45

Calculated values
formation energy = -3.051 eV/f.u.
DOS(E_F) = 0.58 states/eV/atom
total magnetization = 0.000 μB/f.u.
V = 129 Å³ per cell
final energy = -7.78 eV per atom



The following is a DFT calculation (PBEsol) of an optimized crystal structure of LaAsIr.

a b c (Å): 4.1072 4.2601 4.2601
angles (deg): 120.00 90.00 90.00
With the nearest neighbours (Å) after each atom.
Fractional coordinates of all 3 atoms:
1 La 0.5000 0.6667 0.3333  6 As 3.20, 6 Ir 3.20
2 Ir 0.0000 0.3333 0.6667  3 As 2.46
3 As 0.0000 0.0000 0.0000  3 Ir 2.46

Calculated values
formation energy = -2.920 eV/f.u.
DOS(E_F) = 0.73 states/eV/atom
total magnetization = 0.000 μB/f.u.
V = 65 Å³ per cell
final energy = -7.73 eV per atom



The following is a DFT calculation (PBEsol) of an optimized crystal structure of LaAs2Ir.

a b c (Å): 4.8382 4.8382 4.8382
angles (deg): 60.00 60.00 60.00
With the nearest neighbours (Å) after each atom.
Fractional coordinates of all 4 atoms:
1 As 0.0000 0.0000 0.0000  4 La 2.96, 4 As 2.96
2 As 0.2500 0.2500 0.2500  4 As 2.96, 4 Ir 2.96
3 La 0.7500 0.7500 0.7500  4 As 2.96, 4 Ir 2.96
4 Ir 0.5000 0.5000 0.5000  4 La 2.96, 4 As 2.96

Calculated values
formation energy = -0.585 eV/f.u.
DOS(E_F) = 0.94 states/eV/atom
total magnetization = 0.000 μB/f.u.
V = 80 Å³ per cell
final energy = -6.49 eV per atom



The following is a DFT calculation (PBEsol) of an optimized crystal structure of LiAs2Ir.

a b c (Å): 6.1140 6.4959 6.1140
angles (deg): 61.93 90.00 118.07
With the nearest neighbours (Å) after each atom.
Fractional coordinates of all 8 atoms:
1 Ir 0.0000 0.0000 0.0000  4 As 2.33
2 As 0.8750 0.2500 0.6668  2 Ir 2.33
3 Li 0.2500 0.5000 0.2500  4 As 2.64
4 Li 0.5000 0.0000 0.5000  4 As 2.64
5 As 0.3750 0.2500 0.0832  2 Ir 2.33
6 Ir 0.7500 0.5000 0.7500  4 As 2.33
7 As 0.6668 0.7500 0.3750  2 Ir 2.33
8 As 0.0832 0.7500 0.8750  2 Ir 2.33

Calculated values
formation energy = 0.049 eV/f.u.
DOS(E_F) = 0.47 states/eV/atom
total magnetization = 0.000 μB/f.u.
V = 181 Å³ per cell
distance to the lowest polymorph of the same formula = 1.28 eV/f.u.
final energy = -5.49 eV per atom



The following is a DFT calculation (PBEsol) of an optimized crystal structure of Li2As2Ir.

a b c (Å): 4.2390 6.1769 6.1769
angles (deg): 90.00 90.00 90.00
With the nearest neighbours (Å) after each atom.
Fractional coordinates of all 10 atoms:
1 Li 0.5000 0.3215 0.1785  6 As 2.66-2.89
2 Ir 0.0000 0.5000 0.5000  4 As 2.39
3 As 0.0000 0.3620 0.8620  2 Ir 2.39, 1 As 2.41, 2 Li 2.66
4 Ir 0.0000 0.0000 0.0000  4 As 2.39
5 As 0.0000 0.8620 0.6380  2 Ir 2.39, 1 As 2.41, 2 Li 2.66
6 As 0.0000 0.1380 0.3620  2 Ir 2.39, 1 As 2.41, 2 Li 2.66
7 Li 0.5000 0.8215 0.3215  6 As 2.66-2.89
8 Li 0.5000 0.6785 0.8215  6 As 2.66-2.89
9 Li 0.5000 0.1785 0.6785  6 As 2.66-2.89
10 As 0.0000 0.6380 0.1380  2 Ir 2.39, 1 As 2.41, 2 Li 2.66

Calculated values
formation energy = -2.743 eV/f.u.
DOS(E_F) = 0.19 states/eV/atom
total magnetization = 0.000 μB/f.u.
V = 162 Å³ per cell
final energy = -5.34 eV per atom



The following is a DFT calculation (PBEsol) of an optimized crystal structure of LiAs2Ir.

a b c (Å): 4.3674 4.3674 4.3674
angles (deg): 60.00 60.00 60.00
With the nearest neighbours (Å) after each atom.
Fractional coordinates of all 4 atoms:
1 Li 0.0000 0.0000 0.0000  8 As 2.67
2 As 0.2500 0.2500 0.2500  4 Li 2.67, 4 Ir 2.67
3 Ir 0.5000 0.5000 0.5000  8 As 2.67
4 As 0.7500 0.7500 0.7500  4 Li 2.67, 4 Ir 2.67

Calculated values
formation energy = -1.232 eV/f.u.
DOS(E_F) = 0.26 states/eV/atom
total magnetization = 0.000 μB/f.u.
V = 59 Å³ per cell
distance to the lowest polymorph of the same formula = 0.00 eV/f.u.
final energy = -5.81 eV per atom



The following is a DFT calculation (PBEsol) of an optimized crystal structure of Li2AsIr.

a b c (Å): 2.7385 2.7385 8.6955
angles (deg): 80.94 80.94 60.00
With the nearest neighbours (Å) after each atom.
Fractional coordinates of all 4 atoms:
1 Li 0.2502 0.2502 0.2493  3 Ir 2.65, 3 As 2.66, 6 Li 2.74
2 As 0.5000 0.5000 0.5000  6 Li 2.66, 6 As 2.74
3 Li 0.7498 0.7498 0.7507  3 Ir 2.65, 3 As 2.66, 6 Li 2.74
4 Ir 0.0000 0.0000 0.0000  6 Li 2.65, 6 Ir 2.74

Calculated values
formation energy = -0.844 eV/f.u.
DOS(E_F) = 0.51 states/eV/atom
total magnetization = 0.000 μB/f.u.
V = 56 Å³ per cell
final energy = -4.93 eV per atom



The following is a DFT calculation (PBEsol) of an optimized crystal structure of LiAs2Ir.

a b c (Å): 3.6685 3.6685 6.4812
angles (deg): 73.56 73.56 60.00
With the nearest neighbours (Å) after each atom.
Fractional coordinates of all 4 atoms:
1 Li 0.0000 0.0000 0.0000  6 As 2.75
2 As 0.2375 0.2375 0.2875  3 Ir 2.49, 3 Li 2.75
3 Ir 0.5000 0.5000 0.5000  6 As 2.49
4 As 0.7625 0.7625 0.7125  3 Ir 2.49, 3 Li 2.75

Calculated values
formation energy = -0.901 eV/f.u.
DOS(E_F) = 0.59 states/eV/atom
total magnetization = 0.000 μB/f.u.
V = 71 Å³ per cell
distance to the lowest polymorph of the same formula = 0.33 eV/f.u.
final energy = -5.73 eV per atom